Computed, not measured: a relaxed VCo2Tc crystal at the PBE level of DFT.

Summary:
Spin magnetization ... 4.9 μB per cell
Symmetry ... Fm-3m, No. 225
Electronic total energy ... -8.31 eV/atom

Unit cell a=4.153 b=4.153 c=4.153 alpha=60.00 beta=60.00 gamma=60.00
Positions (direct):
V (0.000, 0.000, 0.000)
Co (0.250, 0.250, 0.250)
Co (0.750, 0.750, 0.750)
Tc (0.500, 0.500, 0.500)